Mn2TlCu: single point on PBEsol structure, meta-GGA SCAN.

* energy relative to the elements: 232.9 meV/atom
* V: 241.3 Å³/cell
* DOS(E_F): 1.10 states/eV per atom

a = 6.226 Å, b = 6.226 Å, c = 6.226 Å
α = 90.00°, β = 90.00°, γ = 90.00°
Space group F-43m (No. 216)
Unique sites:
Mn 0.000 0.000 0.000
Mn 0.250 0.250 0.250
Tl 0.000 0.000 0.500
Cu 0.250 0.250 0.750